Record 1
VASP calculation (GGA-PBE) on a geometry-optimized ZrCo2Tc structure.

## Properties
E above lowest polymorph ... 7 meV per atom
E_form ... -8 kJ/mol of formula units
Space-group type ... Fm-3m, No. 225

Cell lengths 4.3606, 4.3606, 4.3606 Å; angles 60.00, 60.00, 60.00 degrees
Each line ends with the local moment (μB).
Sites, in units of the cell vectors:
1 Tc 0.5000 0.5000 0.5000  1.34
2 Co 0.2500 0.2500 0.2500  1.54
3 Co 0.7500 0.7500 0.7500  1.54
4 Zr 0.0000 0.0000 0.0000  -0.15


Record 2
VASP calculation (GGA-PBE) on a geometry-optimized Ce4DyP6 structure.

## Properties
E_form ... -1321 kJ/mol of formula units
Space-group type ... R-3c, No. 167

Cell lengths 7.9536, 7.9536, 7.9536 Å; angles 91.24, 91.24, 88.76 degrees
Each line ends with the local moment (μB).
Sites, in units of the cell vectors:
1 P 0.5679 0.1781 0.5860  -0.03
2 Ce 0.2500 0.6301 0.1301  0.34
3 Ce 0.2500 0.2500 0.7500  0.29
4 P 0.3219 0.9321 0.9140  -0.03
5 P 0.1781 0.4140 0.4321  -0.03
6 Dy 0.5000 0.5000 0.5000  0.01
7 P 0.5860 0.4321 0.1781  -0.03
8 Ce 0.7500 0.7500 0.2500  0.29
9 Dy 0.0000 0.0000 0.0000  0.01
10 P 0.8219 0.5860 0.5679  -0.03
11 Ce 0.6301 0.8699 0.7500  0.34
12 P 0.6781 0.0679 0.0860  -0.03
13 P 0.4140 0.5679 0.8219  -0.03
14 P 0.9140 0.6781 0.9321  -0.03
15 Ce 0.3699 0.1301 0.2500  0.34
16 Ce 0.7500 0.3699 0.8699  0.34
17 P 0.4321 0.8219 0.4140  -0.03
18 Ce 0.1301 0.7500 0.6301  0.34
19 P 0.0679 0.9140 0.3219  -0.03
20 Ce 0.8699 0.2500 0.3699  0.34
21 P 0.9321 0.0860 0.6781  -0.03
22 P 0.0860 0.3219 0.0679  -0.03


Record 3
VASP calculation (GGA-PBE) on a geometry-optimized SrIr2Pt2 structure.

## Properties
E_form ... -46 kJ/mol of formula units
Space-group type ... I4/mmm, No. 139

Cell lengths 4.4870, 4.4870, 5.9684 Å; angles 67.92, 67.92, 90.00 degrees
Sites, in units of the cell vectors:
1 Sr 0.0000 0.0000 0.0000
2 Pt 0.7500 0.2500 0.5000
3 Ir 0.3829 0.3829 0.2343
4 Ir 0.6171 0.6171 0.7657
5 Pt 0.2500 0.7500 0.5000


Record 4
VASP calculation (GGA-PBE) on a geometry-optimized NpNi4H8Rh structure.

## Properties
Final energy ... -70.56 eV/cell
Space-group type ... R3m, No. 160

Cell lengths 5.3269, 5.3269, 5.4992 Å; angles 61.03, 61.03, 60.00 degrees
Each line ends with the local moment (μB).
Sites, in units of the cell vectors:
1 Np 0.3711 0.3711 0.8866  3.78
2 Ni 0.9983 0.5114 0.4921  0.01
3 H 0.2214 0.2214 0.6985  0.00
4 Ni 0.5114 0.9983 0.4921  0.01
5 H 0.7442 0.2332 0.2784  0.00
6 H 0.7580 0.7580 0.7260  -0.01
7 H 0.2151 0.2151 0.3546  0.00
8 H 0.2332 0.7442 0.2784  0.00
9 Ni 0.6258 0.6258 0.1227  -0.10
10 H 0.7442 0.7442 0.2784  0.00
11 H 0.8588 0.2214 0.6985  0.00
12 Rh 0.9990 0.9990 0.0031  -0.02
13 H 0.2214 0.8588 0.6985  0.00
14 Ni 0.9983 0.9983 0.4921  0.01


Record 5
VASP calculation (GGA-PBE) on a geometry-optimized Rb2PuTlI6 structure.

## Properties
Uncorrected formation energy ... -1171 meV/atom
Space-group type ... P2_1/c, No. 14

Cell lengths 8.5127, 9.2632, 12.4396 Å; angles 90.00, 89.49, 90.00 degrees
Each line ends with the local moment (μB).
Sites, in units of the cell vectors:
1 Rb 0.9647 0.0881 0.7496  0.00
2 I 0.1674 0.2118 0.0599  -0.03
3 I 0.3802 0.9618 0.7348  -0.03
4 I 0.6198 0.0382 0.2652  -0.03
5 I 0.6674 0.2882 0.5599  -0.03
6 Tl 0.5000 0.0000 0.0000  -0.01
7 Rb 0.4647 0.4119 0.2496  0.00
8 I 0.7037 0.3203 0.9420  -0.03
9 I 0.3326 0.7118 0.4401  -0.03
10 I 0.7963 0.8203 0.5580  -0.03
11 I 0.8326 0.7882 0.9401  -0.03
12 I 0.8802 0.5382 0.2348  -0.03
13 Pu 0.0000 0.5000 0.0000  5.13
14 Tl 0.0000 0.5000 0.5000  -0.01
15 Rb 0.5353 0.5881 0.7504  0.00
16 Rb 0.0353 0.9119 0.2504  0.00
17 I 0.2963 0.6797 0.0580  -0.03
18 I 0.2037 0.1797 0.4420  -0.03
19 Pu 0.5000 0.0000 0.5000  5.13
20 I 0.1198 0.4618 0.7652  -0.03


Record 6
VASP calculation (GGA-PBE) on a geometry-optimized DyHoPt2 structure.

## Properties
E above lowest polymorph ... 0 meV per atom
E_form ... -498 kJ/mol of formula units
Space-group type ... Amm2, No. 38

Cell lengths 3.7738, 4.4478, 5.6044 Å; angles 90.00, 109.73, 90.00 degrees
Sites, in units of the cell vectors:
1 Pt 0.1709 0.5000 0.8809
2 Pt 0.9948 0.0000 0.5286
3 Dy 0.4442 0.5000 0.4275
4 Ho 0.7210 0.0000 0.9810


Record 7
VASP calculation (GGA-PBE) on a geometry-optimized Ac6Si2NiCl3 structure.

## Properties
Uncorrected formation energy ... -1050 meV/atom
Space-group type ... C2/m, No. 12

Cell lengths 4.4817, 9.0331, 9.8433 Å; angles 101.22, 103.16, 90.00 degrees
Sites, in units of the cell vectors:
1 Cl 0.8211 0.1537 0.6421
2 Si 0.8377 0.6625 0.6754
3 Cl 0.1789 0.8463 0.3579
4 Ac 0.3487 0.9042 0.6974
5 Ac 0.6513 0.0958 0.3026
6 Ac 0.3295 0.4250 0.6590
7 Ac 0.9994 0.2329 0.9988
8 Si 0.1623 0.3375 0.3246
9 Cl 0.5000 0.5000 0.0000
10 Ac 0.6705 0.5750 0.3410
11 Ac 0.0006 0.7671 0.0012
12 Ni 0.5000 0.0000 0.0000


Record 8
VASP calculation (GGA-PBE) on a geometry-optimized MgAsN3 structure.

## Properties
Uncorrected formation energy ... 1900 meV/atom
Space-group type ... Pm-3m, No. 221

Cell lengths 3.9642, 3.9642, 3.9642 Å; angles 90.00, 90.00, 90.00 degrees
Each line ends with the local moment (μB).
Sites, in units of the cell vectors:
1 As 0.5000 0.5000 0.5000  -0.23
2 N 0.0000 0.0000 0.5000  0.94
3 N 0.5000 0.0000 0.0000  1.05
4 Mg 0.0000 0.0000 0.0000  0.01
5 N 0.0000 0.5000 0.0000  1.16


Record 9
VASP calculation (GGA-PBE) on a geometry-optimized Si2PdN structure.

## Properties
Uncorrected formation energy ... -160 meV/atom
Space-group type ... I-42d, No. 122

Cell lengths 5.1758, 5.1758, 5.5727 Å; angles 62.33, 62.33, 90.00 degrees
Sites, in units of the cell vectors:
1 Si 0.3750 0.4443 0.7500
2 N 0.2500 0.7500 0.5000
3 Si 0.1943 0.6250 0.2500
4 Si 0.5557 0.1250 0.2500
5 Pd 0.0000 0.0000 0.0000
6 N 0.5000 0.5000 0.0000
7 Si 0.8750 0.8057 0.7500
8 Pd 0.7500 0.2500 0.5000


Record 10
VASP calculation (GGA-PBE) on a geometry-optimized AcPrYHg structure.

## Properties
E_form ... 6 kJ/mol of formula units
Space-group type ... F-43m, No. 216

Cell lengths 5.6618, 5.6618, 5.6618 Å; angles 60.00, 60.00, 60.00 degrees
Sites, in units of the cell vectors:
1 Hg 0.0000 0.0000 0.0000
2 Ac 0.5000 0.5000 0.5000
3 Y 0.7500 0.7500 0.7500
4 Pr 0.2500 0.2500 0.2500


Record 11
VASP calculation (GGA-PBE) on a geometry-optimized Al3Cu2Ni3 structure.

## Properties
E above lowest polymorph ... 51 meV per atom
E_form ... -271 kJ/mol of formula units
Space-group type ... P-62m, No. 189

Cell lengths 6.6272, 6.6272, 2.6622 Å; angles 90.00, 90.00, 120.00 degrees
Sites, in units of the cell vectors:
1 Al 0.0000 0.7361 0.0000
2 Al 0.2639 0.2639 0.0000
3 Ni 0.0000 0.3534 0.5000
4 Ni 0.6466 0.6466 0.5000
5 Al 0.7361 0.0000 0.0000
6 Cu 0.6667 0.3333 0.0000
7 Cu 0.3333 0.6667 0.0000
8 Ni 0.3534 0.0000 0.5000


Record 12
VASP calculation (GGA-PBE) on a geometry-optimized LaPrBr6 structure.

## Properties
Uncorrected formation energy ... -1896 meV/atom
E above lowest polymorph ... 0 meV per atom
Space-group type ... C2/m, No. 12

Cell lengths 7.5404, 7.5404, 7.3361 Å; angles 97.68, 97.68, 121.77 degrees
Sites, in units of the cell vectors:
1 Br 0.2476 0.2476 0.7493
2 Br 0.3970 0.0997 0.2473
3 Br 0.7524 0.7524 0.2507
4 Br 0.0997 0.3970 0.2473
5 Pr 0.0000 0.0000 0.0000
6 La 0.5000 0.5000 0.5000
7 Br 0.9003 0.6030 0.7527
8 Br 0.6030 0.9003 0.7527


no.,total moment (μB per cell)
1,4.29
2,2.53
3,0.00
4,3.88
5,10.00
6,0.00
7,0.00
8,3.99
9,0.00
10,0.00
11,0.00
12,0.00